Record 1
VASP calculation (GGA-PBE) on LiZn2Se after structural relaxation.

```
data_LiZn2Se
_chemical_formula_sum 'Li1 Zn2 Se1'
_cell_length_a 2.990
_cell_length_b 2.990
_cell_length_c 8.099
_cell_angle_alpha 90.00
_cell_angle_beta 90.00
_cell_angle_gamma 90.00
_symmetry_space_group_name_H-M 'P 4/m m m'
_symmetry_Int_Tables_number 123
_symmetry_space_group_name_Hall '-P 4 2'
loop_
_atom_site_label
_atom_site_type_symbol
_atom_site_fract_x
_atom_site_fract_y
_atom_site_fract_z
_atom_site_occupancy
Li1 Li 0.000 0.000 0.000 1
Zn1 Zn 0.500 0.500 0.238 1
Se1 Se 0.000 0.000 0.500 1
```

Energy above the lowest structure with this stoichiometry in meV per atom: 408
Density of states at the Fermi level in states/eV per cell: 1.17
Spin magnetization in μB/cell: 0.0

***

Record 2
VASP calculation (GGA-PBE) on YMn2Ga2 after structural relaxation.

```
data_YMn2Ga2
_chemical_formula_sum 'Y2 Mn4 Ga4'
_cell_length_a 7.506
_cell_length_b 7.506
_cell_length_c 2.976
_cell_angle_alpha 90.00
_cell_angle_beta 90.00
_cell_angle_gamma 90.00
_symmetry_space_group_name_H-M 'P 4/m b m'
_symmetry_Int_Tables_number 127
_symmetry_space_group_name_Hall '-P 4 2ab'
loop_
_atom_site_label
_atom_site_type_symbol
_atom_site_fract_x
_atom_site_fract_y
_atom_site_fract_z
_atom_site_occupancy
Y1 Y 0.000 0.000 0.000 1
Mn1 Mn 0.176 0.324 0.500 1
Ga1 Ga 0.122 0.622 0.000 1
```

Energy above the lowest structure with this stoichiometry in meV per atom: 47
Density of states at the Fermi level in states/eV per cell: 8.34
Spin magnetization in μB/cell: 9.9

***

Record 3
VASP calculation (GGA-PBE) on NbIrPd2 after structural relaxation.

```
data_NbIrPd2
_chemical_formula_sum 'Nb1 Ir1 Pd2'
_cell_length_a 3.889
_cell_length_b 3.889
_cell_length_c 4.106
_cell_angle_alpha 90.00
_cell_angle_beta 90.00
_cell_angle_gamma 90.00
_symmetry_space_group_name_H-M 'P 4/m m m'
_symmetry_Int_Tables_number 123
_symmetry_space_group_name_Hall '-P 4 2'
loop_
_atom_site_label
_atom_site_type_symbol
_atom_site_fract_x
_atom_site_fract_y
_atom_site_fract_z
_atom_site_occupancy
Nb1 Nb 0.000 0.000 0.000 1
Ir1 Ir 0.500 0.500 0.000 1
Pd1 Pd 0.000 0.500 0.500 1
```

Energy above the lowest structure with this stoichiometry in meV per atom: 0
Density of states at the Fermi level in states/eV per cell: 1.57
Spin magnetization in μB/cell: 0.0